Hg2RuAu: optimized geometry, PBE.

Calculated values
calculated volume	18.79	A^3/atom
polymorph energy (0 for the lowest one)	0.0512	eV/atom
electronic total energy	-2.87	eV/atom
ΔH_f (0 K)	418	meV/atom

a b c (Å): 3.020 5.328 5.818
angles (deg): 53.39 90.00 90.00
Each line ends with the local moment (μB).
Element x y z (fractional)
Hg  0.500  0.500  0.000  -0.02
Hg  0.000  0.000  0.000  -0.02
Au  0.000  0.000  0.500  -0.01
Ru  0.500  0.500  0.500  0.97